YSiPb: optimized geometry, PBE-GGA.

Values from the calculation:
* formation energy without anion corrections: 0.15 eV per atom
* total moment: 0.000 μB per cell
* excess energy over the best structure of this formula in the dataset: 661 meV per atom
* V: 25.7 A^3/atom

CIF file:
```
data_YSiPb
_symmetry_space_group_name_H-M 'P 1'
_symmetry_Int_Tables_number 1
_cell_length_a 3.439
_cell_length_b 3.439
_cell_length_c 7.519
_cell_angle_alpha 90.00
_cell_angle_beta 90.00
_cell_angle_gamma 120.00
loop_
_symmetry_equiv_pos_as_xyz
'x,y,z'
loop_
_atom_site_label
_atom_site_type_symbol
_atom_site_fract_x
_atom_site_fract_y
_atom_site_fract_z
Pb1 Pb 0.000 0.000 0.018
Si1 Si 0.333 0.667 0.342
Y1 Y 0.667 0.333 0.640
```